--- one ---
Below is a relaxed structure of Pm3Pr4Y5, with properties calculated at the PBE level.

Cell and atoms, written as POSCAR:
```
Pm3Pr4Y5
1.0
6.424 -1.456 3.078
1.301 8.712 1.340
3.620 -1.914 8.711
Pm Pr Y
3 4 5
direct
0.416 0.831 0.332
0.000 0.500 0.500
0.584 0.169 0.668
0.081 0.169 0.667
0.169 0.832 0.831
0.831 0.168 0.169
0.919 0.831 0.333
0.668 0.831 0.833
0.500 0.500 0.500
0.252 0.500 0.999
0.748 0.500 0.001
0.332 0.169 0.167
```

Space group   No. 2
Total magnetic moment   0.000 μB per formula unit

=====

--- two ---
Below is a relaxed structure of Pm3Pr4Y5, with properties calculated at the PBE level.

Cell and atoms, written as POSCAR:
```
Pm3Pr4Y5
1.0
-0.748 5.721 1.774
-7.307 0.782 4.667
7.336 2.234 6.158
Pm Pr Y
3 4 5
direct
0.524 0.688 0.265
0.000 0.500 0.500
0.476 0.312 0.735
0.862 0.223 0.053
0.171 0.043 0.616
0.829 0.957 0.384
0.138 0.777 0.947
0.629 0.942 0.799
0.500 0.500 0.500
0.214 0.456 0.115
0.786 0.544 0.885
0.371 0.058 0.201
```

Space group   No. 12
Total magnetic moment   0.309 μB per formula unit

=====

Most stable structure, least stable structure: one, two.

=====

--- one ---
Below is a relaxed structure of PmPrY5, with properties calculated at the PBE level.

Cell and atoms, written as POSCAR:
```
PmPrY5
1.0
5.802 0.000 0.000
2.901 7.322 0.484
2.901 1.785 7.117
Pm Pr Y
1 1 5
direct
0.500 0.500 0.500
0.000 0.000 0.000
0.500 0.180 0.820
0.500 0.820 0.180
0.748 0.252 0.252
0.252 0.748 0.748
0.000 0.500 0.500
```

Space group   No. 71
Total magnetic moment   0.166 μB per formula unit

=====

--- two ---
Below is a relaxed structure of PmPrY5, with properties calculated at the PBE level.

Cell and atoms, written as POSCAR:
```
PmPrY5
1.0
6.501 -0.344 -1.081
-0.459 6.494 -1.081
-1.324 -1.348 11.690
Pm Pr Y
2 2 10
direct
0.000 0.000 0.000
0.000 0.000 0.500
0.492 0.508 0.750
0.508 0.492 0.250
0.388 0.029 0.837
0.466 0.765 0.536
0.029 0.388 0.337
0.840 0.160 0.750
0.235 0.534 0.964
0.765 0.466 0.036
0.160 0.840 0.250
0.971 0.612 0.663
0.534 0.235 0.464
0.612 0.971 0.163
```

Space group   No. 15
Total magnetic moment   0.000 μB per formula unit

=====

Most stable structure, least stable structure: two, one.